{"formula": "BeAgTe3", "functional": "meta-GGA SCAN", "state": "PBEsol geometry", "lattice_angstrom": [[4.9393, 0.0000, 0.0000], [0.0000, 4.9393, 0.0000], [0.0000, 0.0000, 4.9393]], "species": ["Te", "Te", "Te", "Ag", "Be"], "fractional_positions": [[0.0000, 0.0000, 0.5000], [0.0000, 0.5000, 0.0000], [0.5000, 0.0000, 0.0000], [0.5000, 0.5000, 0.5000], [0.0000, 0.0000, 0.0000]], "e_form_raw_ev_per_atom": 0.53, "space_group": "Pm-3m, No. 221", "e_tot_ev_per_cell": -144.84, "magmom_total_mub_per_fu": 0.0, "dos_ef_per_ev_cell": 4.59}